Record 1
{
  "formula": "Hf2NF",
  "functional": "PBE",
  "state": "relaxed",
  "sg": "Fm-3m, No. 225",
  "formation_energy_uncorrected_kj_per_mol_atoms": -76,
  "e_tot_ev_per_atom": -8.316,
  "cell": [[0.0000, 2.9016, 2.9016], [2.9016, 0.0000, 2.9016], [2.9016, 2.9016, 0.0000]],
  "species": ["Hf", "Hf", "N", "F"],
  "fractional_positions": [[0.2500, 0.2500, 0.2500], [0.7500, 0.7500, 0.7500], [0.0000, 0.0000, 0.0000], [0.5000, 0.5000, 0.5000]]
}

Record 2
{
  "formula": "Hf3NF",
  "functional": "PBE",
  "state": "relaxed",
  "sg": "Pm-3m, No. 221",
  "formation_energy_uncorrected_kj_per_mol_atoms": -44,
  "e_tot_ev_per_atom": -8.463,
  "cell": [[4.4110, 0.0000, 0.0000], [0.0000, 4.4110, 0.0000], [0.0000, 0.0000, 4.4110]],
  "species": ["Hf", "Hf", "Hf", "N", "F"],
  "fractional_positions": [[0.0000, 0.0000, 0.5000], [0.0000, 0.5000, 0.0000], [0.5000, 0.0000, 0.0000], [0.0000, 0.0000, 0.0000], [0.5000, 0.5000, 0.5000]]
}

Record 3
{
  "formula": "HfN2F4",
  "functional": "PBE",
  "state": "relaxed",
  "sg": "P-1, No. 2",
  "formation_energy_uncorrected_kj_per_mol_atoms": -248,
  "e_tot_ev_per_atom": -7.440,
  "cell": [[3.3896, 0.0000, 0.0000], [-0.0188, 4.4430, 0.0000], [-0.2747, -0.1751, 8.4038]],
  "species": ["Hf", "N", "N", "F", "F", "F", "F"],
  "fractional_positions": [[0.0000, 0.0000, 0.0000], [0.4474, 0.3865, 0.4793], [0.5526, 0.6135, 0.5207], [0.0097, 0.6582, 0.1402], [0.4893, 0.8426, 0.8782], [0.5107, 0.1574, 0.1218], [0.9903, 0.3418, 0.8598]]
}

Record 4
{
  "formula": "HfN2F",
  "functional": "PBE",
  "state": "relaxed",
  "sg": "I-42d, No. 122",
  "formation_energy_uncorrected_kj_per_mol_atoms": -52,
  "e_tot_ev_per_atom": -7.661,
  "cell": [[-1.7160, 1.7160, 7.6998], [1.7160, -1.7160, 7.6998], [1.7160, 1.7160, -7.6998]],
  "species": ["Hf", "Hf", "N", "N", "N", "N", "F", "F"],
  "fractional_positions": [[0.0000, 0.0000, 0.0000], [0.7500, 0.2500, 0.5000], [0.3750, 0.1943, 0.3193], [0.8057, 0.1250, 0.1807], [0.8750, 0.0557, 0.6807], [0.9443, 0.6250, 0.8193], [0.2500, 0.7500, 0.5000], [0.5000, 0.5000, 0.0000]]
}

Record 5
{
  "formula": "HfN2F",
  "functional": "PBE",
  "state": "relaxed",
  "sg": "Fm-3m, No. 225",
  "formation_energy_uncorrected_kj_per_mol_atoms": -3,
  "e_tot_ev_per_atom": -7.149,
  "cell": [[0.0000, 2.7116, 2.7116], [2.7116, 0.0000, 2.7116], [2.7116, 2.7116, 0.0000]],
  "species": ["Hf", "N", "N", "F"],
  "fractional_positions": [[0.0000, 0.0000, 0.0000], [0.2500, 0.2500, 0.2500], [0.7500, 0.7500, 0.7500], [0.5000, 0.5000, 0.5000]]
}

Record 6
{
  "formula": "HfNF5",
  "functional": "PBE",
  "state": "relaxed",
  "sg": "P2_1/c, No. 14",
  "formation_energy_uncorrected_kj_per_mol_atoms": -223,
  "e_tot_ev_per_atom": -6.261,
  "cell": [[7.8841, 0.0000, 0.0000], [0.0000, 8.3133, 0.0000], [-3.3992, 0.0000, 7.6064]],
  "species": ["Hf", "Hf", "Hf", "Hf", "N", "N", "N", "N", "F", "F", "F", "F", "F", "F", "F", "F", "F", "F", "F", "F", "F", "F", "F", "F", "F", "F", "F", "F"],
  "fractional_positions": [[0.0012, 0.2490, 0.2510], [0.0012, 0.2510, 0.7510], [0.9988, 0.7490, 0.2490], [0.9988, 0.7510, 0.7490], [0.4446, 0.0238, 0.7114], [0.4446, 0.4762, 0.2114], [0.5554, 0.5238, 0.7886], [0.5554, 0.9762, 0.2886], [0.0011, 0.2495, 0.0064], [0.0011, 0.2505, 0.5064], [0.0230, 0.0073, 0.7640], [0.0230, 0.4927, 0.2640], [0.2596, 0.1998, 0.3750], [0.2596, 0.3002, 0.8750], [0.2632, 0.7401, 0.3274], [0.2632, 0.7599, 0.8274], [0.4044, 0.0057, 0.1410], [0.4044, 0.4943, 0.6410], [0.5956, 0.5057, 0.3590], [0.5956, 0.9943, 0.8590], [0.7368, 0.2401, 0.1726], [0.7368, 0.2599, 0.6726], [0.7404, 0.6998, 0.1250], [0.7404, 0.8002, 0.6250], [0.9770, 0.5073, 0.7360], [0.9770, 0.9927, 0.2360], [0.9989, 0.7495, 0.4936], [0.9989, 0.7505, 0.9936]]
}

Record 7
{
  "formula": "HfNbNF2",
  "functional": "PBE",
  "state": "relaxed",
  "sg": "P4/mmm, No. 123",
  "formation_energy_uncorrected_kj_per_mol_atoms": -70,
  "e_tot_ev_per_atom": -7.149,
  "cell": [[4.1595, 0.0000, 0.0000], [0.0000, 4.1595, 0.0000], [0.0000, 0.0000, 4.1796]],
  "species": ["Hf", "Nb", "N", "F", "F"],
  "fractional_positions": [[0.0000, 0.0000, 0.0000], [0.5000, 0.5000, 0.5000], [0.5000, 0.5000, 0.0000], [0.0000, 0.5000, 0.5000], [0.5000, 0.0000, 0.5000]]
}

Record 8
{
  "formula": "HfNbNF2",
  "functional": "PBE",
  "state": "relaxed",
  "sg": "P4/mmm, No. 123",
  "formation_energy_uncorrected_kj_per_mol_atoms": -109,
  "e_tot_ev_per_atom": -7.550,
  "cell": [[4.1182, 0.0000, 0.0000], [0.0000, 4.1182, 0.0000], [0.0000, 0.0000, 4.3193]],
  "species": ["Hf", "Nb", "N", "F", "F"],
  "fractional_positions": [[0.0000, 0.0000, 0.0000], [0.5000, 0.5000, 0.5000], [0.0000, 0.0000, 0.5000], [0.0000, 0.5000, 0.0000], [0.5000, 0.0000, 0.0000]]
}

Record 9
{
  "formula": "HfNb2NF",
  "functional": "PBE",
  "state": "relaxed",
  "sg": "P4/mmm, No. 123",
  "formation_energy_uncorrected_kj_per_mol_atoms": -32,
  "e_tot_ev_per_atom": -8.394,
  "cell": [[4.1571, 0.0000, 0.0000], [0.0000, 4.1571, 0.0000], [0.0000, 0.0000, 4.6361]],
  "species": ["Hf", "Nb", "Nb", "N", "F"],
  "fractional_positions": [[0.0000, 0.0000, 0.0000], [0.0000, 0.5000, 0.5000], [0.5000, 0.0000, 0.5000], [0.0000, 0.0000, 0.5000], [0.5000, 0.5000, 0.0000]]
}

Record 10
{
  "formula": "HfNbN2F",
  "functional": "PBE",
  "state": "relaxed",
  "sg": "P4/mmm, No. 123",
  "formation_energy_uncorrected_kj_per_mol_atoms": -51,
  "e_tot_ev_per_atom": -8.238,
  "cell": [[4.1173, 0.0000, 0.0000], [0.0000, 4.1173, 0.0000], [0.0000, 0.0000, 3.9235]],
  "species": ["Hf", "Nb", "N", "N", "F"],
  "fractional_positions": [[0.0000, 0.0000, 0.0000], [0.5000, 0.5000, 0.5000], [0.0000, 0.5000, 0.5000], [0.5000, 0.0000, 0.5000], [0.5000, 0.5000, 0.0000]]
}

Record 11
{
  "formula": "HfNbN2F",
  "functional": "PBE",
  "state": "relaxed",
  "sg": "P4/mmm, No. 123",
  "formation_energy_uncorrected_kj_per_mol_atoms": -56,
  "e_tot_ev_per_atom": -8.289,
  "cell": [[4.2359, 0.0000, 0.0000], [0.0000, 4.2359, 0.0000], [0.0000, 0.0000, 3.8855]],
  "species": ["Hf", "Nb", "N", "N", "F"],
  "fractional_positions": [[0.0000, 0.0000, 0.0000], [0.5000, 0.5000, 0.5000], [0.0000, 0.5000, 0.0000], [0.5000, 0.0000, 0.0000], [0.0000, 0.0000, 0.5000]]
}

Record 12
{
  "formula": "HfN2OF",
  "functional": "PBE",
  "state": "relaxed",
  "sg": "P4/mmm, No. 123",
  "formation_energy_uncorrected_kj_per_mol_atoms": 8,
  "e_tot_ev_per_atom": -6.606,
  "cell": [[4.4065, 0.0000, 0.0000], [0.0000, 4.4065, 0.0000], [0.0000, 0.0000, 4.0069]],
  "species": ["Hf", "N", "N", "O", "F"],
  "fractional_positions": [[0.0000, 0.0000, 0.0000], [0.0000, 0.5000, 0.0000], [0.5000, 0.0000, 0.0000], [0.0000, 0.0000, 0.5000], [0.5000, 0.5000, 0.5000]]
}